K2TmCrO6 | GGA+U | optimized geometry

a = 6.1891 Å, b = 6.1891 Å, c = 5.5933 Å
α = 90.00°, β = 90.00°, γ = 120.00°
Last column: nearest neighbours and their distance in Å.
Space group P-3m1 (No. 164)
Inequivalent atoms, fractional coordinates:
K1 0.3333 0.6667 0.1077 [2 per cell]  3 O 2.72
Tm1 0.0000 0.0000 0.5000 [1 per cell]  6 O 2.23
Cr1 0.0000 0.0000 0.0000 [1 per cell]  6 O 1.85
O1 0.1370 0.2741 0.7991 [6 per cell]  1 Cr 1.85

Electronic total energy = -60.2 eV per cell
Magnetization = 0.102 μB/atom
V = 186 Å³/f.u.